# KRbAuCl (PBE-GGA, optimized geometry)
# Crystal system ... trigonal
# E ... -2.877 eV/atom
data_KRbAuCl
_chemical_formula_sum 'K3 Rb3 Au3 Cl3'
_space_group_name_H-M_alt 'R 3 m'
_space_group_IT_number 160
_space_group_name_Hall 'R 3 -2"'
_cell_length_a 4.6345
_cell_length_b 4.6345
_cell_length_c 24.6241
_cell_angle_alpha 90.00
_cell_angle_beta 90.00
_cell_angle_gamma 120.00
loop_
_atom_site_label
_atom_site_type_symbol
_atom_site_fract_x
_atom_site_fract_y
_atom_site_fract_z
K1 K 0.0000 0.0000 0.0000
Rb1 Rb 0.0000 0.0000 0.8209
Au1 Au 0.0000 0.0000 0.5806
Cl1 Cl 0.0000 0.0000 0.4063

# Nb2V2ZnRu5 (PBE-GGA, optimized geometry)
# Crystal system ... tetragonal
# Formation enthalpy at 0 K ... -0.01 eV/atom
# E ... -8.612 eV/atom
data_Nb2V2ZnRu5
_chemical_formula_sum 'Nb4 V4 Zn2 Ru10'
_space_group_name_H-M_alt 'P 4/m b m'
_space_group_IT_number 127
_space_group_name_Hall '-P 4 2ab'
_cell_length_a 9.5680
_cell_length_b 9.5680
_cell_length_c 3.3296
_cell_angle_alpha 90.00
_cell_angle_beta 90.00
_cell_angle_gamma 90.00
loop_
_atom_site_label
_atom_site_type_symbol
_atom_site_fract_x
_atom_site_fract_y
_atom_site_fract_z
Nb1 Nb 0.1743 0.3257 0.0000
V1 V 0.1292 0.6292 0.0000
Zn1 Zn 0.0000 0.0000 0.0000
Ru1 Ru 0.0000 0.5000 0.5000
Ru2 Ru 0.0608 0.7968 0.5000

# Sm2OsRh (PBE-GGA, optimized geometry)
# Crystal system ... cubic
# Formation enthalpy at 0 K ... -0.29 eV/atom
# E ... -7.299 eV/atom
data_Sm2OsRh
_chemical_formula_sum 'Sm8 Os4 Rh4'
_space_group_name_H-M_alt 'F m -3 m'
_space_group_IT_number 225
_space_group_name_Hall '-F 4 2 3'
_cell_length_a 6.9788
_cell_length_b 6.9788
_cell_length_c 6.9788
_cell_angle_alpha 90.00
_cell_angle_beta 90.00
_cell_angle_gamma 90.00
loop_
_atom_site_label
_atom_site_type_symbol
_atom_site_fract_x
_atom_site_fract_y
_atom_site_fract_z
Sm1 Sm 0.2500 0.2500 0.2500
Os1 Os 0.0000 0.0000 0.0000
Rh1 Rh 0.0000 0.0000 0.5000

# Ag2PbSe (PBE-GGA, optimized geometry)
# Crystal system ... tetragonal
# E ... -3.182 eV/atom
data_Ag2PbSe
_chemical_formula_sum 'Ag2 Pb1 Se1'
_space_group_name_H-M_alt 'P 4 m m'
_space_group_IT_number 99
_space_group_name_Hall 'P 4 -2'
_cell_length_a 3.8127
_cell_length_b 3.8127
_cell_length_c 6.2964
_cell_angle_alpha 90.00
_cell_angle_beta 90.00
_cell_angle_gamma 90.00
loop_
_atom_site_label
_atom_site_type_symbol
_atom_site_fract_x
_atom_site_fract_y
_atom_site_fract_z
Ag1 Ag 0.0000 0.0000 0.0000
Ag2 Ag 0.5000 0.5000 0.1837
Pb1 Pb 0.0000 0.0000 0.4929
Se1 Se 0.5000 0.5000 0.7353

# NaNpN (PBE-GGA, optimized geometry)
# Crystal system ... monoclinic
# E ... -7.786 eV/atom
data_NaNpN
_chemical_formula_sum 'Na4 Np4 N4'
_space_group_name_H-M_alt 'C 1 2/m 1'
_space_group_IT_number 12
_space_group_name_Hall '-C 2y'
_cell_length_a 10.2434
_cell_length_b 3.4754
_cell_length_c 5.9113
_cell_angle_alpha 90.00
_cell_angle_beta 90.85
_cell_angle_gamma 90.00
loop_
_atom_site_label
_atom_site_type_symbol
_atom_site_fract_x
_atom_site_fract_y
_atom_site_fract_z
Na1 Na 0.1180 0.0000 0.4954
Np1 Np 0.1618 0.5000 0.9992
N1 N 0.0020 0.5000 0.2156

# CaIN3 (PBE-GGA, optimized geometry)
# Crystal system ... cubic
# E ... -3.668 eV/atom
data_CaIN3
_chemical_formula_sum 'Ca1 I1 N3'
_space_group_name_H-M_alt 'P m -3 m'
_space_group_IT_number 221
_space_group_name_Hall '-P 4 2 3'
_cell_length_a 4.7152
_cell_length_b 4.7152
_cell_length_c 4.7152
_cell_angle_alpha 90.00
_cell_angle_beta 90.00
_cell_angle_gamma 90.00
loop_
_atom_site_label
_atom_site_type_symbol
_atom_site_fract_x
_atom_site_fract_y
_atom_site_fract_z
Ca1 Ca 0.0000 0.0000 0.0000
I1 I 0.5000 0.5000 0.5000
N1 N 0.0000 0.0000 0.5000

# LiZrTc2 (PBE-GGA, optimized geometry)
# Crystal system ... tetragonal
# Formation enthalpy at 0 K ... 0.33 eV/atom
# E ... -7.464 eV/atom
data_LiZrTc2
_chemical_formula_sum 'Li1 Zr1 Tc2'
_space_group_name_H-M_alt 'P 4/m m m'
_space_group_IT_number 123
_space_group_name_Hall '-P 4 2'
_cell_length_a 2.6512
_cell_length_b 2.6512
_cell_length_c 9.2630
_cell_angle_alpha 90.00
_cell_angle_beta 90.00
_cell_angle_gamma 90.00
loop_
_atom_site_label
_atom_site_type_symbol
_atom_site_fract_x
_atom_site_fract_y
_atom_site_fract_z
Li1 Li 0.0000 0.0000 0.0000
Zr1 Zr 0.0000 0.0000 0.5000
Tc1 Tc 0.5000 0.5000 0.2379

# Sr2AcIrO5 (PBE-GGA, optimized geometry)
# Crystal system ... orthorhombic
# E ... -6.782 eV/atom
data_Sr2AcIrO5
_chemical_formula_sum 'Sr4 Ac2 Ir2 O10'
_space_group_name_H-M_alt 'I m m m'
_space_group_IT_number 71
_space_group_name_Hall '-I 2 2'
_cell_length_a 3.9667
_cell_length_b 5.8147
_cell_length_c 11.9985
_cell_angle_alpha 90.00
_cell_angle_beta 90.00
_cell_angle_gamma 90.00
loop_
_atom_site_label
_atom_site_type_symbol
_atom_site_fract_x
_atom_site_fract_y
_atom_site_fract_z
Sr1 Sr 0.0000 0.0000 0.2058
Ac1 Ac 0.0000 0.5000 0.0000
Ir1 Ir 0.0000 0.5000 0.5000
O1 O 0.0000 0.0000 0.0000
O2 O 0.0000 0.2438 0.3764